# CaCrP3

CaCrP3 after structural relaxation (PBE, Alexandria).

Results
E = -5.717 eV/atom
space-group type = Pm-3m
magnetization = 0.632 μB/f.u.

a b c (Å): 4.5459 4.5459 4.5459
angles (deg): 90.00 90.00 90.00
Last column: nearest neighbours and their distance in Å.
Positions (direct):
Ca: 0.0000 0.0000 0.0000  12 P 3.21
Cr: 0.5000 0.5000 0.5000  6 P 2.27
P: 0.0000 0.5000 0.5000  2 Cr 2.27
P: 0.5000 0.0000 0.5000  2 Cr 2.27
P: 0.5000 0.5000 0.0000  2 Cr 2.27

---

# CaCrP

CaCrP after structural relaxation (PBE, Alexandria).

Results
E = -6.230 eV/atom
space-group type = Fmm2
magnetization = 0.000 μB/f.u.

a b c (Å): 7.9709 3.8112 7.9498
angles (deg): 76.46 27.70 75.84
Last column: nearest neighbours and their distance in Å.
Positions (direct):
Ca: 0.1647 0.8353 0.1647  4 P 2.83-2.95, 2 Cr 3.00
Ca: 0.8353 0.1647 0.8353  4 P 2.83-2.95, 2 Cr 3.00
Cr: 0.0258 0.4469 0.9742  1 Cr 2.24, 4 P 2.41-2.48
Cr: 0.4469 0.0258 0.5531  1 Cr 2.24, 4 P 2.41-2.48
P: 0.4120 0.6130 0.3870  4 Cr 2.41-2.48
P: 0.6130 0.4120 0.5880  4 Cr 2.41-2.48